Model i:
Here is a relaxed structure of Gd2HfAl from Alexandria via LeMat-Bulk. Energies are from PBE-GGA.

The calculated density comes out at 8.51 g/cm3. The volume comes out at 25.4 A^3/atom. As for the crystal system: tetragonal.

The structure belongs to space group P4/mmm (No. 123); the cell edges are 3.3767, 3.3767 and 8.9011 Å and the angles 90.00°, 90.00° and 90.00°. The inequivalent atoms are Gd at (0.0000, 0.0000, 0.2346), Hf at (0.5000, 0.5000, 0.5000) and Al at (0.5000, 0.5000, 0.0000).

=====

Model ii:
Here is a relaxed structure of Gd2HfAl from Alexandria via LeMat-Bulk. Energies are from PBE-GGA.

The calculated density comes out at 8.32 g/cm3. The volume comes out at 25.9 A^3/atom. As for the crystal system: trigonal.

The structure belongs to space group R-3m (No. 166, hexagonal axes); the cell edges are 3.2325, 3.2325 and 34.3979 Å and the angles 90.00°, 90.00° and 120.00°. The inequivalent atoms are Gd at (0.0000, 0.0000, 0.0922), Hf at (0.0000, 0.0000, 0.0000) and Al at (0.0000, 0.0000, 0.5000).

=====

Least stable of them? model ii.

=====

Model i:
Here is a relaxed structure of GdAlHg from Alexandria via LeMat-Bulk. Energies are from PBE-GGA.

The calculated density comes out at 9.29 g/cm3. The volume comes out at 22.9 A^3/atom. As for the crystal system: hexagonal.

The structure belongs to space group P-6m2 (No. 187); the cell edges are 4.7021, 4.7021 and 3.5908 Å and the angles 90.00°, 90.00° and 120.00°. The inequivalent atoms are Gd at (0.0000, 0.0000, 0.0000), Al at (0.3333, 0.6667, 0.5000) and Hg at (0.6667, 0.3333, 0.5000).

=====

Model ii:
Here is a relaxed structure of GdAlHg from Alexandria via LeMat-Bulk. Energies are from PBE-GGA.

The calculated density comes out at 8.21 g/cm3. The volume comes out at 25.9 A^3/atom. As for the crystal system: cubic.

The structure belongs to space group F-43m (No. 216); the cell edges are 6.7766, 6.7766 and 6.7766 Å and the angles 90.00°, 90.00° and 90.00°. The inequivalent atoms are Gd at (0.0000, 0.0000, 0.0000), Al at (0.0000, 0.0000, 0.5000) and Hg at (0.2500, 0.2500, 0.2500).

=====

Least stable of them? model ii.

=====

Model i:
Here is a relaxed structure of Gd2AlHg from Alexandria via LeMat-Bulk. Energies are from PBE-GGA.

The calculated density comes out at 8.86 g/cm3. The volume comes out at 25.4 A^3/atom. As for the crystal system: tetragonal.

The structure belongs to space group P4/mmm (No. 123); the cell edges are 3.6744, 3.6744 and 7.5285 Å and the angles 90.00°, 90.00° and 90.00°. The inequivalent atoms are Gd at (0.0000, 0.0000, 0.2415), Al at (0.5000, 0.5000, 0.0000) and Hg at (0.5000, 0.5000, 0.5000).

=====

Model ii:
Here is a relaxed structure of Gd2AlHg from Alexandria via LeMat-Bulk. Energies are from PBE-GGA.

The calculated density comes out at 8.21 g/cm3. The volume comes out at 27.4 A^3/atom. As for the crystal system: trigonal.

The structure belongs to space group R-3m (No. 166, hexagonal axes); the cell edges are 3.6830, 3.6830 and 28.0037 Å and the angles 90.00°, 90.00° and 120.00°. The inequivalent atoms are Gd at (0.0000, 0.0000, 0.2467), Al at (0.0000, 0.0000, 0.5000) and Hg at (0.0000, 0.0000, 0.0000).

=====

Least stable of them? model ii.

=====

Model i:
Here is a relaxed structure of GdHoAl from Alexandria via LeMat-Bulk. Energies are from PBE-GGA.

The calculated density comes out at 7.34 g/cm3. The volume comes out at 26.3 A^3/atom. As for the crystal system: trigonal.

The structure belongs to space group P3m1 (No. 156); the cell edges are 5.0720, 5.0720 and 3.5470 Å and the angles 90.00°, 90.00° and 120.00°. The inequivalent atoms are Gd at (0.0000, 0.0000, 0.0000), Ho at (0.3333, 0.6667, 0.4346) and Al at (0.6667, 0.3333, 0.6944).

=====

Model ii:
Here is a relaxed structure of GdHoAl from Alexandria via LeMat-Bulk. Energies are from PBE-GGA.

The calculated density comes out at 7.23 g/cm3. The volume comes out at 26.7 A^3/atom. As for the crystal system: tetragonal.

The structure belongs to space group I4mm (No. 107); the cell edges are 3.4529, 3.4529 and 13.4578 Å and the angles 90.00°, 90.00° and 90.00°. The inequivalent atoms are Gd at (0.0000, 0.0000, 0.0000), Ho at (0.0000, 0.0000, 0.7043) and Al at (0.0000, 0.0000, 0.3497).

=====

Least stable of them? model i.

=====

Model i:
Here is a relaxed structure of Gd2HoAl from Alexandria via LeMat-Bulk. Energies are from PBE-GGA.

The calculated density comes out at 7.73 g/cm3. The volume comes out at 27.2 A^3/atom. As for the crystal system: cubic.

The structure belongs to space group Fm-3m (No. 225); the cell edges are 7.5792, 7.5792 and 7.5792 Å and the angles 90.00°, 90.00° and 90.00°. The inequivalent atoms are Gd at (0.2500, 0.2500, 0.2500), Ho at (0.0000, 0.0000, 0.0000) and Al at (0.0000, 0.0000, 0.5000).

=====

Model ii:
Here is a relaxed structure of Gd2HoAl from Alexandria via LeMat-Bulk. Energies are from PBE-GGA.

The calculated density comes out at 7.48 g/cm3. The volume comes out at 28.1 A^3/atom. As for the crystal system: tetragonal.

The structure belongs to space group P4/mmm (No. 123); the cell edges are 3.5088, 3.5088 and 9.1362 Å and the angles 90.00°, 90.00° and 90.00°. The inequivalent atoms are Gd at (0.0000, 0.0000, 0.2164), Ho at (0.5000, 0.5000, 0.5000) and Al at (0.5000, 0.5000, 0.0000).

=====

Least stable of them? model i.

=====

Model i:
Here is a relaxed structure of Gd2AlI from Alexandria via LeMat-Bulk. Energies are from PBE-GGA.

The calculated density comes out at 7.13 g/cm3. The volume comes out at 27.3 A^3/atom. As for the crystal system: tetragonal.

The structure belongs to space group P4/mmm (No. 123); the cell edges are 3.6074, 3.6074 and 8.3866 Å and the angles 90.00°, 90.00° and 90.00°. The inequivalent atoms are Gd at (0.0000, 0.0000, 0.2232), Al at (0.5000, 0.5000, 0.0000) and I at (0.5000, 0.5000, 0.5000).

=====

Model ii:
Here is a relaxed structure of Gd2AlI from Alexandria via LeMat-Bulk. Energies are from PBE-GGA.

The calculated density comes out at 6.44 g/cm3. The volume comes out at 30.2 A^3/atom. As for the crystal system: trigonal.

The structure belongs to space group R-3m (No. 166, hexagonal axes); the cell edges are 4.2955, 4.2955 and 22.6764 Å and the angles 90.00°, 90.00° and 120.00°. The inequivalent atoms are Gd at (0.0000, 0.0000, 0.2384), Al at (0.0000, 0.0000, 0.5000) and I at (0.0000, 0.0000, 0.0000).

=====

Least stable of them? model ii.

=====

Model i:
Here is a relaxed structure of La2GdAl from Alexandria via LeMat-Bulk. Energies are from PBE-GGA.

The calculated density comes out at 6.09 g/cm3. The volume comes out at 31.5 A^3/atom. As for the crystal system: tetragonal.

The structure belongs to space group P4/mmm (No. 123); the cell edges are 3.7929, 3.7929 and 8.7540 Å and the angles 90.00°, 90.00° and 90.00°. The inequivalent atoms are La at (0.0000, 0.0000, 0.2117), Gd at (0.5000, 0.5000, 0.5000) and Al at (0.5000, 0.5000, 0.0000).

=====

Model ii:
Here is a relaxed structure of La2GdAl from Alexandria via LeMat-Bulk. Energies are from PBE-GGA.

The calculated density comes out at 6.35 g/cm3. The volume comes out at 30.2 A^3/atom. As for the crystal system: cubic.

The structure belongs to space group Fm-3m (No. 225); the cell edges are 7.8484, 7.8484 and 7.8484 Å and the angles 90.00°, 90.00° and 90.00°. The inequivalent atoms are La at (0.2500, 0.2500, 0.2500), Gd at (0.0000, 0.0000, 0.0000) and Al at (0.0000, 0.0000, 0.5000).

=====

Least stable of them? model ii.

=====

Model i:
Here is a relaxed structure of LaGd2Al from Alexandria via LeMat-Bulk. Energies are from PBE-GGA.

The calculated density comes out at 6.26 g/cm3. The volume comes out at 31.9 A^3/atom. As for the crystal system: trigonal.

The structure belongs to space group R-3m (No. 166, hexagonal axes); the cell edges are 3.4993, 3.4993 and 36.0703 Å and the angles 90.00°, 90.00° and 120.00°. The inequivalent atoms are La at (0.0000, 0.0000, 0.0000), Gd at (0.0000, 0.0000, 0.4151) and Al at (0.0000, 0.0000, 0.5000).

=====

Model ii:
Here is a relaxed structure of LaGd2Al from Alexandria via LeMat-Bulk. Energies are from PBE-GGA.

The calculated density comes out at 6.93 g/cm3. The volume comes out at 28.8 A^3/atom. As for the crystal system: tetragonal.

The structure belongs to space group P4/mmm (No. 123); the cell edges are 4.8766, 4.8766 and 4.8416 Å and the angles 90.00°, 90.00° and 90.00°. The inequivalent atoms are La at (0.0000, 0.0000, 0.0000), Gd at (0.0000, 0.5000, 0.5000) and Al at (0.5000, 0.5000, 0.0000).

=====

Least stable of them? model i.